1.
The following is a DFT calculation (GGA-PBE) of an optimized crystal structure of In6TeO12.

a = 6.327 Å, b = 6.327 Å, c = 6.327 Å
α = 98.68°, β = 98.68°, γ = 98.68°
Fractional positions:
In 0.106 0.641 0.818
In 0.182 0.894 0.359
In 0.359 0.182 0.894
In 0.641 0.818 0.106
In 0.818 0.106 0.641
In 0.894 0.359 0.182
Te 0.500 0.500 0.500
O 0.080 0.324 0.904
O 0.096 0.920 0.676
O 0.200 0.541 0.413
O 0.324 0.904 0.080
O 0.413 0.200 0.541
O 0.459 0.587 0.800
O 0.541 0.413 0.200
O 0.587 0.800 0.459
O 0.676 0.096 0.920
O 0.800 0.459 0.587
O 0.904 0.080 0.324
O 0.920 0.676 0.096

Computed properties:
* total energy: -106.92 eV for the cell shown
* ΔE_f (raw): -27.9 eV per formula unit
* space-group type: No. 148


2.
The following is a DFT calculation (GGA-PBE) of an optimized crystal structure of TiInTeO6.

a = 5.275 Å, b = 5.275 Å, c = 9.293 Å
α = 90.00°, β = 90.00°, γ = 120.00°
Fractional positions:
Ti 0.333 0.667 0.250
Ti 0.667 0.333 0.750
In 0.000 0.000 0.000
In 0.000 0.000 0.500
Te 0.333 0.667 0.750
Te 0.667 0.333 0.250
O 0.008 0.357 0.134
O 0.008 0.651 0.366
O 0.349 0.357 0.366
O 0.349 0.992 0.134
O 0.357 0.008 0.634
O 0.357 0.349 0.866
O 0.643 0.651 0.134
O 0.643 0.992 0.366
O 0.651 0.008 0.866
O 0.651 0.643 0.634
O 0.992 0.349 0.634
O 0.992 0.643 0.866

Computed properties:
* total energy: -118.10 eV for the cell shown
* ΔE_f (raw): -15.5 eV per formula unit
* space-group type: No. 163


3.
The following is a DFT calculation (GGA-PBE) of an optimized crystal structure of TlInTeO2.

a = 4.267 Å, b = 4.267 Å, c = 6.389 Å
α = 90.00°, β = 90.00°, γ = 90.00°
Fractional positions:
Tl 0.000 0.000 0.000
In 0.500 0.500 0.500
Te 0.000 0.000 0.500
O 0.000 0.500 0.000
O 0.500 0.000 0.000

Computed properties:
* total energy: -17.96 eV for the cell shown
* ΔE_f (raw): 0.2 eV per formula unit
* space-group type: No. 123


4.
The following is a DFT calculation (GGA-PBE) of an optimized crystal structure of TlInTeO6.

a = 4.942 Å, b = 4.942 Å, c = 9.915 Å
α = 90.00°, β = 90.00°, γ = 90.00°
Fractional positions:
Tl 0.000 0.000 0.000
Tl 0.500 0.500 0.500
In 0.000 0.000 0.330
In 0.500 0.500 0.830
Te 0.000 0.000 0.666
Te 0.500 0.500 0.166
O 0.180 0.180 0.513
O 0.189 0.189 0.812
O 0.218 0.218 0.171
O 0.282 0.718 0.671
O 0.311 0.689 0.312
O 0.320 0.680 0.013
O 0.680 0.320 0.013
O 0.689 0.311 0.312
O 0.718 0.282 0.671
O 0.782 0.782 0.171
O 0.811 0.811 0.812
O 0.820 0.820 0.513

Computed properties:
* total energy: -94.92 eV for the cell shown
* ΔE_f (raw): -9.5 eV per formula unit
* space-group type: No. 102


5.
The following is a DFT calculation (GGA-PBE) of an optimized crystal structure of Tl2InTeO6.

a = 10.385 Å, b = 10.385 Å, c = 10.385 Å
α = 34.02°, β = 34.02°, γ = 34.02°
Fractional positions:
Tl 0.122 0.122 0.122
Tl 0.264 0.264 0.264
Tl 0.736 0.736 0.736
Tl 0.878 0.878 0.878
In 0.398 0.398 0.398
In 0.602 0.602 0.602
Te 0.000 0.000 0.000
Te 0.500 0.500 0.500
O 0.167 0.603 0.603
O 0.187 0.187 0.748
O 0.187 0.748 0.187
O 0.252 0.813 0.813
O 0.397 0.397 0.833
O 0.397 0.833 0.397
O 0.603 0.167 0.603
O 0.603 0.603 0.167
O 0.748 0.187 0.187
O 0.813 0.252 0.813
O 0.813 0.813 0.252
O 0.833 0.397 0.397

Computed properties:
* total energy: -98.36 eV for the cell shown
* ΔE_f (raw): -8.8 eV per formula unit
* space-group type: No. 166


6.
The following is a DFT calculation (GGA-PBE) of an optimized crystal structure of TmIn2TeO8.

a = 4.899 Å, b = 6.705 Å, c = 4.899 Å
α = 90.00°, β = 90.96°, γ = 90.00°
Fractional positions:
Tm 0.000 0.000 0.000
In 0.500 0.255 0.500
In 0.500 0.745 0.500
Te 0.000 0.500 0.000
O 0.183 0.281 0.815
O 0.183 0.719 0.815
O 0.288 0.500 0.286
O 0.314 0.000 0.311
O 0.686 0.000 0.689
O 0.712 0.500 0.714
O 0.817 0.281 0.185
O 0.817 0.719 0.185

Computed properties:
* total energy: -72.69 eV for the cell shown
* ΔE_f (raw): -19.9 eV per formula unit
* space-group type: No. 10


7.
The following is a DFT calculation (GGA-PBE) of an optimized crystal structure of TmInTeO6.

a = 5.482 Å, b = 5.482 Å, c = 9.044 Å
α = 90.00°, β = 90.00°, γ = 120.00°
Fractional positions:
Tm 0.333 0.667 0.250
Tm 0.667 0.333 0.750
In 0.000 0.000 0.000
In 0.000 0.000 0.500
Te 0.333 0.667 0.750
Te 0.667 0.333 0.250
O 0.037 0.366 0.631
O 0.037 0.671 0.869
O 0.329 0.366 0.869
O 0.329 0.963 0.631
O 0.366 0.037 0.131
O 0.366 0.329 0.369
O 0.634 0.671 0.631
O 0.634 0.963 0.869
O 0.671 0.037 0.369
O 0.671 0.634 0.131
O 0.963 0.329 0.131
O 0.963 0.634 0.369

Computed properties:
* total energy: -113.43 eV for the cell shown
* ΔE_f (raw): -16.6 eV per formula unit
* space-group type: No. 163


8.
The following is a DFT calculation (GGA-PBE) of an optimized crystal structure of Tm2InTeO8.

a = 4.952 Å, b = 4.952 Å, c = 6.743 Å
α = 90.00°, β = 90.00°, γ = 91.86°
Fractional positions:
Tm 0.000 0.000 0.248
Tm 0.000 0.000 0.752
In 0.500 0.500 0.000
Te 0.500 0.500 0.500
O 0.199 0.199 0.000
O 0.219 0.219 0.500
O 0.315 0.685 0.285
O 0.315 0.685 0.715
O 0.685 0.315 0.285
O 0.685 0.315 0.715
O 0.781 0.781 0.500
O 0.801 0.801 0.000

Computed properties:
* total energy: -79.98 eV for the cell shown
* ΔE_f (raw): -25.5 eV per formula unit
* space-group type: No. 65


> Look up the total energy of the sixth one.

-72.69 eV for the cell shown


Repeat the fifth record exactly.
The following is a DFT calculation (GGA-PBE) of an optimized crystal structure of Tl2InTeO6.

a = 10.385 Å, b = 10.385 Å, c = 10.385 Å
α = 34.02°, β = 34.02°, γ = 34.02°
Fractional positions:
Tl 0.122 0.122 0.122
Tl 0.264 0.264 0.264
Tl 0.736 0.736 0.736
Tl 0.878 0.878 0.878
In 0.398 0.398 0.398
In 0.602 0.602 0.602
Te 0.000 0.000 0.000
Te 0.500 0.500 0.500
O 0.167 0.603 0.603
O 0.187 0.187 0.748
O 0.187 0.748 0.187
O 0.252 0.813 0.813
O 0.397 0.397 0.833
O 0.397 0.833 0.397
O 0.603 0.167 0.603
O 0.603 0.603 0.167
O 0.748 0.187 0.187
O 0.813 0.252 0.813
O 0.813 0.813 0.252
O 0.833 0.397 0.397

Computed properties:
* total energy: -98.36 eV for the cell shown
* ΔE_f (raw): -8.8 eV per formula unit
* space-group type: No. 166


> The highest ΔE_f (raw) belongs to which entry?

TlInTeO2